1.
# Np2U2Ni15

A relaxed Np2U2Ni15 crystal (PBE, the Alexandria database).

a = 6.425 Å, b = 6.425 Å, c = 6.425 Å
α = 82.06°, β = 82.06°, γ = 82.06°
Fractional positions:
Np  0.145  0.145  0.145
Np  0.855  0.855  0.855
U  0.399  0.399  0.399
U  0.601  0.601  0.601
Ni  0.000  0.500  0.500
Ni  0.156  0.156  0.667
Ni  0.156  0.667  0.156
Ni  0.181  0.500  0.819
Ni  0.181  0.819  0.500
Ni  0.333  0.844  0.844
Ni  0.500  0.000  0.500
Ni  0.500  0.181  0.819
Ni  0.500  0.500  0.000
Ni  0.500  0.819  0.181
Ni  0.667  0.156  0.156
Ni  0.819  0.181  0.500
Ni  0.819  0.500  0.181
Ni  0.844  0.333  0.844
Ni  0.844  0.844  0.333

2.
# Pm6Dy2Sc3

A relaxed Pm6Dy2Sc3 crystal (PBE, the Alexandria database).

a = 6.115 Å, b = 7.869 Å, c = 7.874 Å
α = 107.70°, β = 97.70°, γ = 104.76°
Fractional positions:
Pm  0.093  0.361  0.324
Pm  0.182  0.732  0.149
Pm  0.274  0.090  0.951
Pm  0.726  0.910  0.049
Pm  0.818  0.268  0.851
Pm  0.907  0.639  0.676
Dy  0.366  0.454  0.768
Dy  0.634  0.546  0.232
Sc  0.000  0.000  0.500
Sc  0.457  0.825  0.587
Sc  0.543  0.175  0.413

VASP energy
In order: -137.5; -56.2
Unit: eV/cell